VASP calculation (GGA-PBE) on a relaxed structure of NaTl7Sb3.

abc: 7.068 7.068 8.051
angles: 90.00 90.00 120.00
Fractional positions:
Na 0.000 0.000 0.000
Tl 0.333 0.667 0.333
Tl 0.347 0.173 0.339
Tl 0.504 0.007 0.959
Tl 0.504 0.496 0.959
Tl 0.827 0.173 0.339
Tl 0.827 0.653 0.339
Tl 0.993 0.496 0.959
Sb 0.154 0.308 0.656
Sb 0.154 0.846 0.656
Sb 0.692 0.846 0.656

Values from the calculation:
Relative energy among the computed polymorphs = 0.043 eV/atom
Formation energy from raw total energies = 0.0197 eV/atom
Total DFT energy (no corrections) = -2.7303 eV per atom
Mass density = 8.7 Mg/m³
N(E_F) = 6.45 states/eV per cell